--- one ---
DFT (PBE) results for an optimized crystal structure of SrCrSe2N.

Values from the calculation:
- size of the total moment (μB per atom) = 0.20

Structure (extended XYZ):
```
5
Lattice="5.800 0.000 0.000 0.000 5.800 0.000 0.000 0.000 4.757" Properties=species:S:1:pos:R:3 pbc="T T T"
Cr 2.900 2.900 2.379
Se 2.900 0.000 0.000
Se 0.000 2.900 0.000
N 0.000 0.000 2.379
Sr 0.000 0.000 0.000
```


--- two ---
DFT (PBE) results for an optimized crystal structure of SrCrSe2N.

Values from the calculation:
- size of the total moment (μB per atom) = 0.24

Structure (extended XYZ):
```
5
Lattice="5.214 0.000 0.000 0.000 5.214 0.000 0.000 0.000 3.654" Properties=species:S:1:pos:R:3 pbc="T T T"
N 0.000 0.000 1.827
Sr 2.607 2.607 1.827
Se 2.607 0.000 0.000
Se 0.000 2.607 0.000
Cr 0.000 0.000 0.000
```


Most stable: two (next structure +1639 meV/atom)


--- one ---
DFT (PBE) results for an optimized crystal structure of CrTcSe2N.

Values from the calculation:
- size of the total moment (μB per atom) = 0.09

Structure (extended XYZ):
```
5
Lattice="5.021 0.000 0.000 0.000 5.021 0.000 0.000 0.000 3.675" Properties=species:S:1:pos:R:3 pbc="T T T"
Se 0.000 2.510 0.000
Se 2.510 0.000 0.000
N 0.000 0.000 1.837
Tc 0.000 0.000 0.000
Cr 2.510 2.510 1.837
```


--- two ---
DFT (PBE) results for an optimized crystal structure of CrTcSe2N.

Values from the calculation:
- size of the total moment (μB per atom) = 0.91

Structure (extended XYZ):
```
5
Lattice="4.953 0.000 0.000 0.000 4.953 0.000 0.000 0.000 3.496" Properties=species:S:1:pos:R:3 pbc="T T T"
Cr 0.000 0.000 0.000
Se 0.000 2.476 0.000
Se 2.476 0.000 0.000
Tc 2.476 2.476 1.748
N 0.000 0.000 1.748
```


Most stable: two (next structure +251 meV/atom)


--- one ---
DFT (PBE) results for an optimized crystal structure of CrTcSeN2.

Values from the calculation:
- size of the total moment (μB per atom) = 0.70

Structure (extended XYZ):
```
5
Lattice="3.701 0.000 0.000 0.000 3.701 0.000 0.000 0.000 5.164" Properties=species:S:1:pos:R:3 pbc="T T T"
Se 0.000 0.000 2.582
Tc 1.850 1.850 2.582
Cr 0.000 0.000 0.000
N 1.850 0.000 0.000
N 0.000 1.850 0.000
```


--- two ---
DFT (PBE) results for an optimized crystal structure of CrTcSeN2.

Values from the calculation:
- size of the total moment (μB per atom) = 0.18

Structure (extended XYZ):
```
5
Lattice="3.793 0.000 0.000 0.000 3.793 0.000 0.000 0.000 5.415" Properties=species:S:1:pos:R:3 pbc="T T T"
Se 0.000 0.000 2.708
N 0.000 1.896 0.000
N 1.896 0.000 0.000
Tc 0.000 0.000 0.000
Cr 1.896 1.896 2.708
```


Most stable: one (next structure +144 meV/atom)


--- one ---
DFT (PBE) results for an optimized crystal structure of CrTeSe2N.

Values from the calculation:
- size of the total moment (μB per atom) = 0.80

Structure (extended XYZ):
```
5
Lattice="-1.135 4.338 -3.017 -5.284 -0.960 0.607 -0.035 2.227 3.215" Properties=species:S:1:pos:R:3 pbc="T T T"
Se -2.642 -0.480 0.303
Se -0.567 2.169 -1.509
N -0.018 1.114 1.607
Te 0.000 0.000 0.000
Cr -3.227 2.802 0.402
```


--- two ---
DFT (PBE) results for an optimized crystal structure of CrTeSe2N.

Values from the calculation:
- size of the total moment (μB per atom) = 0.28

Structure (extended XYZ):
```
5
Lattice="-0.897 -2.656 -4.266 4.252 -2.710 0.793 -1.891 -2.413 1.900" Properties=species:S:1:pos:R:3 pbc="T T T"
N -0.946 -1.206 0.950
Se 2.126 -1.355 0.396
Se -0.449 -1.328 -2.133
Te 0.732 -3.889 -0.787
Cr 0.000 0.000 0.000
```


Most stable: two (next structure +827 meV/atom)